# YNbInCl2 | the Alexandria database | PBE-GGA | optimized geometry
data_YNbInCl2
_space_group_name_H-M_alt 'P 4/m m m'
_space_group_IT_number 123
_space_group_name_Hall '-P 4 2'
_cell_length_a 5.176
_cell_length_b 5.176
_cell_length_c 6.378
_cell_angle_alpha 90.00
_cell_angle_beta 90.00
_cell_angle_gamma 90.00
loop_
_atom_site_label
_atom_site_type_symbol
_atom_site_fract_x
_atom_site_fract_y
_atom_site_fract_z
Y1 Y 0.000 0.000 0.000
Nb1 Nb 0.500 0.500 0.000
In1 In 0.000 0.000 0.500
Cl1 Cl 0.000 0.500 0.500
# * total DFT energy (no corrections): -19.4 eV for the cell shown
# * total magnetization: 0.90 μB/atom
# * formation energy without anion corrections: 0.72 eV/atom


# Dy6CuIr5 | the Alexandria database | PBE-GGA | optimized geometry
data_Dy6CuIr5
_space_group_name_H-M_alt 'C 1 2/m 1'
_space_group_IT_number 12
_cell_length_a 8.351
_cell_length_b 14.689
_cell_length_c 4.885
_cell_angle_alpha 90.00
_cell_angle_beta 125.75
_cell_angle_gamma 90.00
loop_
_space_group_symop_operation_xyz
'x,y,z'
'-x,-y,-z'
'-x,y,-z'
'x,-y,z'
'x+1/2,y+1/2,z'
'-x+1/2,-y+1/2,-z'
'-x+1/2,y+1/2,-z'
'x+1/2,-y+1/2,z'
loop_
_atom_site_label
_atom_site_type_symbol
_atom_site_fract_x
_atom_site_fract_y
_atom_site_fract_z
Dy1 Dy 0.247 0.000 0.247
Dy2 Dy 0.249 0.168 0.749
Cu1 Cu 0.000 0.500 0.000
Ir1 Ir 0.000 0.000 0.500
Ir2 Ir 0.000 0.166 0.000
Ir3 Ir 0.000 0.335 0.500
# * formation energy: -0.7525 eV/atom
# * total DFT energy (no corrections): -170.1 eV for the cell shown
# * total magnetization: 0.00 μB/atom


# ErMg8Pb6 | the Alexandria database | PBE-GGA | optimized geometry
data_ErMg8Pb6
_space_group_name_H-M_alt 'R -3'
_space_group_IT_number 148
_space_group_name_Hall '-R 3'
_cell_length_a 8.4755
_cell_length_b 8.4755
_cell_length_c 20.3381
_cell_angle_alpha 90.00
_cell_angle_beta 90.00
_cell_angle_gamma 120.00
loop_
_atom_site_label
_atom_site_type_symbol
_atom_site_fract_x
_atom_site_fract_y
_atom_site_fract_z
Er1 Er 0.0000 0.0000 0.0000
Mg1 Mg 0.0000 0.0000 0.3347
Mg2 Mg 0.0003 0.3368 0.2186
Pb1 Pb 0.0038 0.6627 0.9319
# * formation energy: -0.0176 eV/atom
# * total DFT energy (no corrections): -119.5 eV for the cell shown
# * total magnetization: 0.00 μB/atom


# HoTm6Th3 | the Alexandria database | PBE-GGA | optimized geometry
data_HoTm6Th3
_space_group_name_H-M_alt 'R -3'
_space_group_IT_number 148
_space_group_name_Hall '-R 3'
_cell_length_a 9.7533
_cell_length_b 9.7533
_cell_length_c 11.8670
_cell_angle_alpha 90.00
_cell_angle_beta 90.00
_cell_angle_gamma 120.00
loop_
_atom_site_label
_atom_site_type_symbol
_atom_site_fract_x
_atom_site_fract_y
_atom_site_fract_z
Ho1 Ho 0.0000 0.0000 0.0000
Tm1 Tm 0.0002 0.3341 0.5851
Th1 Th 0.0000 0.0000 0.2487
Th2 Th 0.0000 0.0000 0.5000
# * formation energy: 0.3743 eV/atom
# * total DFT energy (no corrections): -149.8 eV for the cell shown
# * total magnetization: 0.00 μB/atom